Entry from the Alexandria database: a geometry-optimized HoErTiCd structure (GGA-PBE).

```
HoErTiCd
1.0
-2.868 -1.817 3.937
1.473 -4.302 2.520
1.777 0.322 4.875
Er Ho Ti Cd
1 1 1 1
Direct
0.500 0.500 0.500
0.000 0.000 0.000
0.750 0.750 0.750
0.250 0.250 0.250
```

**Symmetry**: F-43m

Entry from the Alexandria database: a geometry-optimized Sr2HgW structure (GGA-PBE).

```
Sr2HgW
1.0
5.425 0.000 0.000
2.712 4.698 0.000
2.712 1.566 4.429
Sr Hg W
2 1 1
Direct
0.250 0.250 0.250
0.000 0.000 0.000
0.500 0.500 0.500
0.750 0.750 0.750
```

**Symmetry**: F-43m

Entry from the Alexandria database: a geometry-optimized Tl8CdHg4 structure (GGA-PBE).

```
Tl8CdHg4
1.0
7.265 -1.106 1.270
0.868 7.297 1.270
-1.452 -1.106 7.231
Tl Hg Cd
8 4 1
Direct
0.247 0.247 0.752
0.753 0.753 0.248
0.247 0.247 0.247
0.247 0.752 0.247
0.753 0.753 0.753
0.753 0.248 0.753
0.752 0.247 0.247
0.248 0.753 0.753
0.500 0.000 0.500
0.000 0.000 0.000
0.000 0.500 0.500
0.500 0.500 0.000
0.500 0.500 0.500
```

**Symmetry**: R-3m

Entry from the Alexandria database: a geometry-optimized Ac8Pr2Tm structure (GGA-PBE).

```
Ac8Pr2Tm
1.0
-2.162 -3.932 -4.062
6.529 2.238 -5.640
2.877 -5.418 8.223
Ac Tm Pr
8 1 2
Direct
0.362 0.572 0.725
0.362 0.153 0.725
0.638 0.428 0.275
0.000 0.290 0.000
0.838 0.838 0.675
0.638 0.847 0.275
0.000 0.710 0.000
0.162 0.162 0.325
0.500 0.000 0.000
0.199 0.699 0.399
0.801 0.301 0.601
```

**Symmetry**: Immm

Entry from the Alexandria database: a geometry-optimized Ce4AlRu2 structure (GGA-PBE).

```
Ce4AlRu2
1.0
-1.355 -0.826 -4.508
-3.334 -3.296 -0.927
-7.884 4.805 -1.043
Ce Al Ru
4 1 2
Direct
0.613 0.613 0.161
0.387 0.387 0.839
0.791 0.791 0.626
0.209 0.209 0.374
0.000 0.000 0.000
0.904 0.904 0.289
0.096 0.096 0.711
```

**Symmetry**: R-3m

Entry from the Alexandria database: a geometry-optimized Be2CoRe structure (GGA-PBE).

```
Be2CoRe
1.0
2.640 0.000 0.000
0.000 2.697 0.000
0.000 0.000 5.660
Re Co Be
1 1 2
Direct
0.500 0.500 0.750
0.500 0.500 0.250
0.000 0.000 0.456
0.000 0.000 0.044
```

**Symmetry**: Pmmm
**Energy above the lowest structure with this stoichiometry**: 20 meV/atom

What are the E values for these records? In order: -17.78, -12.90, -20.55, -45.53, -47.28, -27.58 eV/f.u..
What are the theoretical density values for these records? In order: 8.2, 8.2, 10.2, 8.0, 7.5, 10.8 g/cm³.
What are the formation energy from the elements values for these records? In order: 0.042, 0.929, 0.039, 0.124, -0.179, -0.143 eV per atom.